w) {"formula": "SrIr2W", "functional": "PBE-GGA", "state": "relaxed", "total_magnetization_mub_per_fu": 0.00, "lattice_angstrom": [[-3.755, 3.755, 3.131], [3.755, -3.755, 3.131], [3.755, 3.755, -3.131]], "species": ["Sr", "Sr", "Ir", "Ir", "Ir", "Ir", "W", "W"], "frac_coords": [[0.000, 0.000, 0.000], [0.750, 0.250, 0.500], [0.192, 0.625, 0.067], [0.375, 0.442, 0.567], [0.558, 0.125, 0.933], [0.875, 0.808, 0.433], [0.250, 0.750, 0.500], [0.500, 0.500, 0.000]]}

=====

x) {"formula": "SrIr2W", "functional": "PBE-GGA", "state": "relaxed", "total_magnetization_mub_per_fu": 0.00, "lattice_angstrom": [[-2.081, 2.570, 3.651], [2.081, -2.570, 3.651], [2.081, 2.570, -3.651]], "species": ["Sr", "Ir", "Ir", "W"], "frac_coords": [[0.000, 0.000, 0.000], [0.290, 0.790, 0.500], [0.710, 0.210, 0.500], [0.500, 0.500, 0.000]]}

=====

It is x) that is the least stable of them.